Entry 1:
Below is a geometry-optimized TmAg2Au2 structure, with properties calculated at the GGA-PBE level.

CIF file:
```
data_TmAg2Au2
_cell_length_a 9.472
_cell_length_b 4.181
_cell_length_c 6.746
_cell_angle_alpha 90.00
_cell_angle_beta 133.97
_cell_angle_gamma 90.00
_symmetry_space_group_name_H-M 'C 1 2/m 1'
_symmetry_Int_Tables_number 12
_symmetry_space_group_name_Hall '-C 2y'
loop_
_atom_site_label
_atom_site_fract_x
_atom_site_fract_y
_atom_site_fract_z
Tm1 0.000 0.000 0.000
Ag1 0.194 0.000 0.594
Au1 0.097 0.500 0.800
```

Properties
- E above lowest polymorph (eV/f.u.) = 0.000
- formation energy from the elements (kJ/mol of atoms) = -44

Entry 2:
Below is a geometry-optimized TmAgAu3 structure, with properties calculated at the GGA-PBE level.

CIF file:
```
data_TmAgAu3
_cell_length_a 13.481
_cell_length_b 5.078
_cell_length_c 5.806
_cell_angle_alpha 90.00
_cell_angle_beta 91.75
_cell_angle_gamma 90.00
_symmetry_space_group_name_H-M 'C 1 2/m 1'
_symmetry_Int_Tables_number 12
_symmetry_space_group_name_Hall '-C 2y'
loop_
_atom_site_label
_atom_site_fract_x
_atom_site_fract_y
_atom_site_fract_z
Tm1 0.100 0.000 0.261
Ag1 0.189 0.500 0.995
Au1 0.005 0.500 0.750
Au2 0.124 0.000 0.762
Au3 0.191 0.500 0.494
```

Properties
- formation energy from the elements (kJ/mol of atoms) = -43

Entry 3:
Below is a geometry-optimized Tm4Ag2Au structure, with properties calculated at the GGA-PBE level.

CIF file:
```
data_Tm4Ag2Au
_cell_length_a 5.0000
_cell_length_b 5.0000
_cell_length_c 24.5962
_cell_angle_alpha 90.00
_cell_angle_beta 90.00
_cell_angle_gamma 120.00
_symmetry_space_group_name_H-M 'R -3 m'
_symmetry_Int_Tables_number 166
_symmetry_space_group_name_Hall '-R 3 2"'
loop_
_atom_site_label
_atom_site_fract_x
_atom_site_fract_y
_atom_site_fract_z
Tm1 0.0000 0.0000 0.1251
Tm2 0.0000 0.0000 0.3753
Ag1 0.0000 0.0000 0.2475
Au1 0.0000 0.0000 0.0000
```

Properties
- formation energy from the elements (kJ/mol of atoms) = -34

- Among the records above, which one has the highest formation energy from the elements?
  Tm4Ag2Au

- The highest formation energy from the elements belongs to which entry?
  Tm4Ag2Au

- Which value of formation energy from the elements does entry 2 give?
  -43 kJ/mol of atoms